Entry 1:
! Y3Tm4Th2 (PBE, optimized geometry); values from VASP
&SYSTEM
  ibrav = 0, nat = 9, ntyp = 3
/
ATOMIC_SPECIES
Tm 168.93 Tm.upf
Y 88.91 Y.upf
Th 232.04 Th.upf
CELL_PARAMETERS angstrom
-0.3132 -0.8206 -5.6603
1.6961 -6.0654 0.7855
-8.5040 2.3108 3.0338
ATOMIC_POSITIONS angstrom
Tm -6.5659 -2.0879 0.6660
Y 0.0000 0.0000 0.0000
Tm -0.5551 -2.4873 -2.5070
Y -6.1056 -0.9082 -2.4288
Th -2.6350 0.0671 -2.7622
Th -4.4860 -4.6423 0.9213
Y -1.0154 -3.6670 0.5878
Tm -3.6904 -3.4657 -2.1916
Tm -3.4306 -1.1095 0.3507
! **Distance to the lowest polymorph of the same formula**: 0 meV per atom
! **Formation energy from the elements**: 0.12 eV/atom
! **Space-group type**: C2/m
! **Fermi-level density of states**: 1.57 states/eV per atom
! **VASP energy**: -5.670 eV per atom


Entry 2:
! LiTeClO2 (PBE, optimized geometry); values from VASP
&SYSTEM
  ibrav = 0, nat = 10, ntyp = 4
/
ATOMIC_SPECIES
Cl 35.45 Cl.upf
Te 127.60 Te.upf
O 16.00 O.upf
Li 6.94 Li.upf
CELL_PARAMETERS angstrom
4.0944 0.0000 0.0000
0.0000 6.9353 1.1515
0.0000 1.6629 6.6845
ATOMIC_POSITIONS angstrom
Cl 1.0236 5.1074 5.6055
Te 1.0236 7.3572 7.1720
O 3.0708 7.3152 3.4691
Cl 3.0708 3.4909 2.2305
O 1.0236 1.2831 4.3669
Li 3.0708 1.7055 3.8685
O 3.0708 8.0748 7.2828
Li 1.0236 6.8928 3.9676
O 1.0236 0.5234 0.5532
Te 3.0708 1.2410 0.6640
! **Energy relative to the elements, uncorrected**: -1.29 eV per atom
! **Space-group type**: P2_1/m
! **Fermi-level density of states**: 0.00 states/eV per atom
! **VASP energy**: -4.659 eV per atom


Entry 3:
! Sb2TeCl (PBE, optimized geometry); values from VASP
&SYSTEM
  ibrav = 0, nat = 4, ntyp = 3
/
ATOMIC_SPECIES
Te 127.60 Te.upf
Sb 121.76 Sb.upf
Cl 35.45 Cl.upf
CELL_PARAMETERS angstrom
3.9252 0.0000 0.0000
0.0000 3.9338 0.0000
0.0000 0.0000 7.3793
ATOMIC_POSITIONS angstrom
Te 1.9626 1.9669 1.8448
Sb 0.0000 0.0000 3.3777
Cl 1.9626 1.9669 5.5345
Sb 0.0000 0.0000 0.3120
! **Distance to the lowest polymorph of the same formula**: 179 meV per atom
! **Energy relative to the elements, uncorrected**: 0.02 eV per atom
! **Space-group type**: P4/mmm
! **Fermi-level density of states**: 0.44 states/eV per atom
! **VASP energy**: -3.287 eV per atom


Entry 4:
! Rb2HfSiBr6 (PBE, optimized geometry); values from VASP
&SYSTEM
  ibrav = 0, nat = 10, ntyp = 4
/
ATOMIC_SPECIES
Br 79.90 Br.upf
Rb 85.47 Rb.upf
Si 28.09 Si.upf
Hf 178.49 Hf.upf
CELL_PARAMETERS angstrom
-6.4178 -4.3925 3.6430
1.6536 -6.6786 -5.1396
1.0087 -7.4845 2.8752
ATOMIC_POSITIONS angstrom
Br -1.0372 -2.4103 -0.3258
Rb 0.1401 -9.8494 -1.5063
Rb -3.8956 -8.7063 2.8850
Br -0.6638 -6.5232 1.0880
Si -2.3821 -5.5356 -0.7483
Br -3.0917 -12.0325 0.2907
Hf 0.0000 0.0000 0.0000
Br -0.1037 -6.1809 -3.2275
Br -4.6605 -4.8902 1.7309
Br -3.7270 -8.6608 -1.1707
! **Energy relative to the elements, uncorrected**: -1.02 eV per atom
! **Space-group type**: I4/mmm
! **Fermi-level density of states**: 0.01 states/eV per atom
! **VASP energy**: -3.756 eV per atom


Entry 5:
! NaY2SnO (PBE, optimized geometry); values from VASP
&SYSTEM
  ibrav = 0, nat = 5, ntyp = 4
/
ATOMIC_SPECIES
Na 22.99 Na.upf
O 16.00 O.upf
Y 88.91 Y.upf
Sn 118.71 Sn.upf
CELL_PARAMETERS angstrom
-0.9229 2.1145 4.1618
-2.7985 -3.6462 1.2319
3.6671 -2.1677 1.9145
ATOMIC_POSITIONS angstrom
Na 1.8335 -1.0838 0.9573
O 0.0000 0.0000 0.0000
Y -1.3992 -1.8231 0.6160
Y -0.4614 1.0573 2.0809
Sn -0.0272 -1.8497 3.6541
! **Energy relative to the elements, uncorrected**: -1.43 eV per atom
! **Space-group type**: P4/mmm
! **Fermi-level density of states**: 0.40 states/eV per atom
! **VASP energy**: -6.072 eV per atom


Entry 6:
! Au2Br (PBE, optimized geometry); values from VASP
&SYSTEM
  ibrav = 0, nat = 6, ntyp = 2
/
ATOMIC_SPECIES
Au 196.97 Au.upf
Br 79.90 Br.upf
CELL_PARAMETERS angstrom
-1.3942 2.8936 -1.9837
-0.0379 -3.4814 -1.4595
-10.0549 -1.7705 4.4844
ATOMIC_POSITIONS angstrom
Au -6.2713 -2.3744 0.9442
Br -7.5412 -1.3279 3.3633
Au -5.2157 0.0161 0.0970
Au -9.7910 -2.9942 2.5139
Br -2.5137 -0.4426 1.1211
Au -1.6960 0.6359 -1.4727
! **Distance to the lowest polymorph of the same formula**: 225 meV per atom
! **Energy relative to the elements, uncorrected**: 0.25 eV per atom
! **Space-group type**: P6_3/mmc
! **Fermi-level density of states**: 0.60 states/eV per atom
! **VASP energy**: -2.495 eV per atom


Entry 7:
! TbNd4N4 (PBE, optimized geometry); values from VASP
&SYSTEM
  ibrav = 0, nat = 9, ntyp = 3
/
ATOMIC_SPECIES
Nd 144.24 Nd.upf
N 14.01 N.upf
Tb 158.93 Tb.upf
CELL_PARAMETERS angstrom
-0.7030 1.7622 -3.0776
-6.2705 -0.0414 -0.7150
-2.3337 7.3382 2.6113
ATOMIC_POSITIONS angstrom
Nd -6.7172 4.3479 -2.3468
Nd -5.8541 6.4559 0.7867
N -4.7269 0.8223 -0.5730
Nd -3.4531 2.6031 -1.9679
N -1.4812 2.7166 -0.2297
N -7.8259 6.3425 -0.9515
N -4.5802 8.2367 -0.6082
Nd -2.5899 4.7112 1.1656
Tb -0.3515 0.8811 -1.5388
! **Energy relative to the elements, uncorrected**: -1.27 eV per atom
! **Space-group type**: C2/m
! **Fermi-level density of states**: 0.40 states/eV per atom
! **VASP energy**: -7.602 eV per atom


Entry 8:
! Cu2WSe (PBE, optimized geometry); values from VASP
&SYSTEM
  ibrav = 0, nat = 4, ntyp = 3
/
ATOMIC_SPECIES
Cu 63.55 Cu.upf
W 183.84 W.upf
Se 78.96 Se.upf
CELL_PARAMETERS angstrom
2.7180 0.0000 0.0000
0.0000 2.7180 0.0000
0.0000 0.0000 8.4866
ATOMIC_POSITIONS angstrom
Cu 0.0000 0.0000 4.4405
Cu 0.0000 0.0000 8.2893
W 1.3590 1.3590 6.3649
Se 1.3590 1.3590 2.1216
! **Energy relative to the elements, uncorrected**: 0.40 eV per atom
! **Space-group type**: P4/mmm
! **Fermi-level density of states**: 0.74 states/eV per atom
! **VASP energy**: -5.754 eV per atom


Entry 9:
! Li2MgP2 (PBE, optimized geometry); values from VASP
&SYSTEM
  ibrav = 0, nat = 10, ntyp = 3
/
ATOMIC_SPECIES
P 30.97 P.upf
Li 6.94 Li.upf
Mg 24.30 Mg.upf
CELL_PARAMETERS angstrom
6.4553 0.0000 0.0000
0.0000 6.4553 0.0000
0.0000 0.0000 4.0843
ATOMIC_POSITIONS angstrom
P 0.7892 2.4385 0.0000
Li 1.0579 4.2856 2.0422
P 4.0168 0.7892 0.0000
Li 2.1698 1.0579 2.0422
Li 4.2856 5.3974 2.0422
P 5.6662 4.0168 0.0000
Mg 0.0000 0.0000 0.0000
Li 5.3974 2.1698 2.0422
P 2.4385 5.6662 0.0000
Mg 3.2277 3.2277 0.0000
! **Formation energy from the elements**: -0.51 eV/atom
! **Space-group type**: P4/mbm
! **Fermi-level density of states**: 0.10 states/eV per atom
! **VASP energy**: -3.758 eV per atom


Entry 10:
! Sr2SmErS4 (PBE, optimized geometry); values from VASP
&SYSTEM
  ibrav = 0, nat = 8, ntyp = 4
/
ATOMIC_SPECIES
Sr 87.62 Sr.upf
Sm 150.36 Sm.upf
Er 167.26 Er.upf
S 32.06 S.upf
CELL_PARAMETERS angstrom
4.0551 0.0000 0.0000
0.0000 7.0233 0.1219
0.0000 -2.4560 6.7540
ATOMIC_POSITIONS angstrom
Sr 2.0276 -1.2280 3.3770
Sm 2.0276 3.5117 0.0609
Er 0.0000 0.0000 0.0000
Sr 0.0000 2.2837 3.4379
S 0.0000 -0.1366 5.2111
S 0.0000 4.7039 1.6648
S 2.0276 3.4670 5.3032
S 2.0276 1.1003 1.5727
! **Energy relative to the elements, uncorrected**: -2.03 eV per atom
! **Space-group type**: P2/m
! **Fermi-level density of states**: 0.43 states/eV per atom
! **VASP energy**: -5.676 eV per atom


Entry 11:
! Ba2LiH2 (PBE, optimized geometry); values from VASP
&SYSTEM
  ibrav = 0, nat = 5, ntyp = 3
/
ATOMIC_SPECIES
H 1.01 H.upf
Ba 137.33 Ba.upf
Li 6.94 Li.upf
CELL_PARAMETERS angstrom
-2.0112 0.0890 -3.9921
-3.8295 -1.3094 1.9000
-4.8474 6.6701 0.0871
ATOMIC_POSITIONS angstrom
H -5.7986 2.3752 0.4706
Ba -3.5269 1.6813 -0.6894
H -4.8895 3.0745 -2.4755
Li 0.0000 0.0000 0.0000
Ba -7.1612 3.7684 -1.3156
! **Distance to the lowest polymorph of the same formula**: 0 meV per atom
! **Space-group type**: I4/mmm
! **Fermi-level density of states**: 0.90 states/eV per atom
! **VASP energy**: -2.771 eV per atom


Entry 12:
! AcAlGa (PBE, optimized geometry); values from VASP
&SYSTEM
  ibrav = 0, nat = 3, ntyp = 3
/
ATOMIC_SPECIES
Ga 69.72 Ga.upf
Ac 227.00 Ac.upf
Al 26.98 Al.upf
CELL_PARAMETERS angstrom
4.9514 0.0000 0.0000
2.4757 4.2880 0.0000
2.4757 1.4293 4.0428
ATOMIC_POSITIONS angstrom
Ga 2.4757 1.4293 1.0107
Ac 4.9514 2.8587 2.0214
Al 0.0000 0.0000 0.0000
! **Distance to the lowest polymorph of the same formula**: 309 meV per atom
! **Formation energy from the elements**: -0.23 eV/atom
! **Space-group type**: F-43m
! **Fermi-level density of states**: 0.60 states/eV per atom
! **VASP energy**: -3.859 eV per atom


Entry 13:
! Ac6Pd5 (PBE, optimized geometry); values from VASP
&SYSTEM
  ibrav = 0, nat = 11, ntyp = 2
/
ATOMIC_SPECIES
Pd 106.42 Pd.upf
Ac 227.00 Ac.upf
CELL_PARAMETERS angstrom
-0.3427 -0.6849 -7.6210
-5.7305 -3.8978 -3.2410
-4.0304 5.8383 -2.8942
ATOMIC_POSITIONS angstrom
Pd -4.0404 -3.0498 -7.2422
Pd -4.1645 1.0788 -8.8831
Ac -4.9975 2.9324 -3.9244
Pd -5.9392 0.1767 -4.8732
Pd -2.1865 2.5767 -5.2576
Ac -3.2079 -0.2300 -6.1982
Ac -3.2624 3.8514 -7.8014
Ac -6.8957 1.4855 -7.5580
Ac -1.1107 1.3020 -2.7138
Pd -2.0328 -1.5330 -3.6198
Ac -5.1061 -1.6769 -9.8318
! **Formation energy from the elements**: -0.72 eV/atom
! **Space-group type**: C2/m
! **Fermi-level density of states**: 0.65 states/eV per atom
! **VASP energy**: -5.319 eV per atom


Entry 14:
! Be2Co3 (PBE, optimized geometry); values from VASP
&SYSTEM
  ibrav = 0, nat = 10, ntyp = 2
/
ATOMIC_SPECIES
Be 9.01 Be.upf
Co 58.93 Co.upf
CELL_PARAMETERS angstrom
-0.8264 -2.3966 -0.5613
0.6371 -0.7802 2.3931
-12.4587 3.2695 4.3825
ATOMIC_POSITIONS angstrom
Be -7.5184 0.3598 3.5273
Be -2.8083 -0.8762 1.8705
Be -9.8397 0.9690 4.3439
Co -6.2293 1.6347 2.1913
Co -10.9948 2.8853 3.8676
Be -5.1296 -0.2671 2.6870
Co -3.8539 1.0114 1.3557
Co -0.0947 -1.5884 0.9159
Co -1.4638 0.3841 0.5149
Co -8.6048 2.2581 3.0268
! **Distance to the lowest polymorph of the same formula**: 0 meV per atom
! **Formation energy from the elements**: -0.23 eV/atom
! **Space-group type**: P4/mmm
! **Fermi-level density of states**: 1.13 states/eV per atom
! **VASP energy**: -5.984 eV per atom


Entry 15:
! Li6SeBr2N (PBE, optimized geometry); values from VASP
&SYSTEM
  ibrav = 0, nat = 10, ntyp = 4
/
ATOMIC_SPECIES
Li 6.94 Li.upf
Br 79.90 Br.upf
Se 78.96 Se.upf
N 14.01 N.upf
CELL_PARAMETERS angstrom
-0.2207 -0.6627 6.1446
4.8717 -4.2288 -0.2811
0.5490 5.6997 -2.0653
ATOMIC_POSITIONS angstrom
Li 1.4641 4.0799 -0.8870
Li 3.6565 -0.7773 0.8992
Li 3.7359 -3.2717 4.6852
Br 1.4605 1.6680 0.2183
Se -0.1103 -0.3313 3.0723
Li 1.5436 1.5855 2.8990
N 2.4359 -2.1144 -0.1406
Li 1.4293 -1.2694 4.8183
Br 3.7396 -0.8598 3.5799
Li 3.7707 2.0776 -1.0201
! **Energy relative to the elements, uncorrected**: -0.92 eV per atom
! **Space-group type**: C2/m
! **VASP energy**: -3.583 eV per atom


Entry 16:
! Dy3ErTh3 (PBE, optimized geometry); values from VASP
&SYSTEM
  ibrav = 0, nat = 14, ntyp = 3
/
ATOMIC_SPECIES
Th 232.04 Th.upf
Dy 162.50 Dy.upf
Er 167.26 Er.upf
CELL_PARAMETERS angstrom
-4.6683 2.7872 -2.1035
-2.6263 -7.8373 -4.5563
-3.0222 1.5795 8.8002
ATOMIC_POSITIONS angstrom
Th -6.8677 2.1342 5.9518
Th -4.3367 2.0843 0.2685
Dy -5.8824 -0.9997 -0.3876
Er -3.9259 -4.0023 -0.6297
Th -2.3478 -0.8481 0.0475
Th -3.4490 -5.6047 -3.8114
Dy -2.8300 0.7218 3.1978
Th -5.9800 -5.5548 1.8718
Dy -7.4867 -4.1923 -1.0574
Th -7.9689 -2.6225 2.0929
Er -6.3908 0.5318 2.7701
Dy -4.9073 -0.8379 5.7415
Dy -5.4094 -2.6327 -3.6011
Dy -4.4343 -2.4708 2.5280
! **Distance to the lowest polymorph of the same formula**: 0 meV per atom
! **Formation energy from the elements**: 0.04 eV/atom
! **Space-group type**: P6_3/m
! **Fermi-level density of states**: 1.43 states/eV per atom
! **VASP energy**: -5.763 eV per atom


Entry 17:
! CaZnF3 (PBE, optimized geometry); values from VASP
&SYSTEM
  ibrav = 0, nat = 5, ntyp = 3
/
ATOMIC_SPECIES
F 19.00 F.upf
Ca 40.08 Ca.upf
Zn 65.41 Zn.upf
CELL_PARAMETERS angstrom
4.2373 0.0000 0.0000
0.0000 4.2373 0.0000
0.0000 0.0000 4.2373
ATOMIC_POSITIONS angstrom
F 0.0000 0.0000 2.1187
Ca 2.1187 2.1187 2.1187
F 2.1187 0.0000 0.0000
F 0.0000 2.1187 0.0000
Zn 0.0000 0.0000 0.0000
! **Distance to the lowest polymorph of the same formula**: 173 meV per atom
! **Energy relative to the elements, uncorrected**: -2.34 eV per atom
! **Space-group type**: Pm-3m
! **Fermi-level density of states**: 0.27 states/eV per atom
! **VASP energy**: -4.120 eV per atom


Entry 18:
! Rb2GaSnMo (PBE, optimized geometry); values from VASP
&SYSTEM
  ibrav = 0, nat = 5, ntyp = 4
/
ATOMIC_SPECIES
Rb 85.47 Rb.upf
Sn 118.71 Sn.upf
Mo 95.94 Mo.upf
Ga 69.72 Ga.upf
CELL_PARAMETERS angstrom
6.7277 0.0000 0.0000
0.0000 5.3450 0.0000
0.0000 0.0000 6.7277
ATOMIC_POSITIONS angstrom
Rb 3.3638 0.0000 0.0000
Rb 0.0000 0.0000 3.3638
Sn 0.0000 2.6725 0.0000
Mo 3.3638 2.6725 3.3638
Ga 0.0000 0.0000 0.0000
! **Formation energy from the elements**: 1.12 eV/atom
! **Space-group type**: P4/mmm
! **Fermi-level density of states**: 0.54 states/eV per atom
! **VASP energy**: -2.839 eV per atom


Entry 19:
! PrSmCBr (PBE, optimized geometry); values from VASP
&SYSTEM
  ibrav = 0, nat = 4, ntyp = 4
/
ATOMIC_SPECIES
Pr 140.91 Pr.upf
Br 79.90 Br.upf
Sm 150.36 Sm.upf
C 12.01 C.upf
CELL_PARAMETERS angstrom
3.7923 -0.0005 -0.0001
-1.8957 3.2848 0.0000
-1.8958 -1.0943 7.4777
ATOMIC_POSITIONS angstrom
Pr 0.3584 -0.2401 5.1198
Br 2.2543 0.8553 2.6679
Sm -1.5377 3.0443 0.3783
C -1.5375 0.8548 6.5622
! **Energy relative to the elements, uncorrected**: -0.88 eV per atom
! **Space-group type**: R3m
! **Fermi-level density of states**: 0.54 states/eV per atom
! **VASP energy**: -5.982 eV per atom


Entry 20:
! RbCd2Ge (PBE, optimized geometry); values from VASP
&SYSTEM
  ibrav = 0, nat = 8, ntyp = 3
/
ATOMIC_SPECIES
Cd 112.41 Cd.upf
Rb 85.47 Rb.upf
Ge 72.64 Ge.upf
CELL_PARAMETERS angstrom
4.6651 0.0000 0.0000
0.0000 4.6651 0.0000
0.0000 0.0000 11.2394
ATOMIC_POSITIONS angstrom
Cd 0.0000 0.0000 5.6197
Rb 0.0000 2.3326 8.5576
Cd 2.3326 2.3326 5.6197
Rb 2.3326 0.0000 2.6818
Cd 0.0000 2.3326 0.8878
Ge 2.3326 0.0000 7.2260
Ge 0.0000 2.3326 4.0134
Cd 2.3326 0.0000 10.3516
! **Formation energy from the elements**: 0.01 eV/atom
! **Space-group type**: P4/nmm
! **Fermi-level density of states**: 0.49 states/eV per atom
! **VASP energy**: -1.839 eV per atom